## Er5ScRu3 (PBE)

Data for a geometry-optimized Er5ScRu3 structure.

Calculated values
Total magnetic moment = 0.0 μB per cell
Energy of formation = -0.23 eV per atom

Cell: 11.9526 8.8606 9.5532 Å, 90.00 109.74 90.00°
Closest atoms and distances in Å follow each position.
Space group C2/m (No. 12)
Inequivalent atoms, fractional coordinates:
Er  0.0000  0.1995  0.0000 [4 per cell]  3 Ru 2.66-2.70
Er  0.0363  0.0000  0.3474 [4 per cell]  3 Ru 2.69-2.84
Er  0.1829  0.3054  0.6444 [8 per cell]  3 Ru 2.72-2.76
Er  0.2360  0.5000  0.0522 [4 per cell]  3 Ru 2.69-2.88
Sc  0.0748  0.5000  0.2851 [4 per cell]  3 Ru 2.50-2.60
Ru  0.0000  0.5000  0.0000 [2 per cell]  2 Sc 2.56, 4 Er 2.66-2.69
Ru  0.0000  0.5000  0.5000 [2 per cell]  2 Sc 2.50, 4 Er 2.76
Ru  0.1633  0.0000  0.1628 [4 per cell]  6 Er 2.69-2.73
Ru  0.1945  0.0000  0.6286 [4 per cell]  1 Sc 2.60, 5 Er 2.71-2.88